# 1
Material: Ho3AlNi8
Method: DFT, PBE
State: relaxed

For the theoretical density, the calculation gives 9.39 Mg/m³. The calculation puts the calculated total energy at -5.633 eV/atom.

The structure in CIF format:
```
data_Ho3AlNi8
_chemical_formula_sum 'Ho6 Al2 Ni16'
_symmetry_space_group_name_H-M 'P 63/m m c'
_symmetry_Int_Tables_number 194
_symmetry_space_group_name_Hall '-P 6c 2c'
_cell_length_a 5.0325
_cell_length_b 5.0325
_cell_length_c 15.9828
_cell_angle_alpha 90.00
_cell_angle_beta 90.00
_cell_angle_gamma 120.00
loop_
_atom_site_label
_atom_site_type_symbol
_atom_site_fract_x
_atom_site_fract_y
_atom_site_fract_z
Ho1 Ho 0.3333 0.6667 0.0452
Ho2 Ho 0.3333 0.6667 0.2500
Al1 Al 0.0000 0.0000 0.0000
Ni1 Ni 0.0000 0.0000 0.2500
Ni2 Ni 0.1690 0.3380 0.6251
Ni3 Ni 0.3333 0.6667 0.7500
```

# 2
Material: TmBeTe
Method: DFT, PBE
State: relaxed

For the theoretical density, the calculation gives 6.32 Mg/m³. The calculation puts the calculated total energy at -3.444 eV/atom. The offset from the most stable computed form is 171.5 meV/atom.

The structure in CIF format:
```
data_TmBeTe
_chemical_formula_sum 'Tm4 Be4 Te4'
_symmetry_space_group_name_H-M 'F -4 3 m'
_symmetry_Int_Tables_number 216
_symmetry_space_group_name_Hall 'F -4 2 3'
_cell_length_a 6.849
_cell_length_b 6.849
_cell_length_c 6.849
_cell_angle_alpha 90.00
_cell_angle_beta 90.00
_cell_angle_gamma 90.00
loop_
_atom_site_label
_atom_site_type_symbol
_atom_site_fract_x
_atom_site_fract_y
_atom_site_fract_z
Tm1 Tm 0.000 0.000 0.000
Be1 Be 0.000 0.000 0.500
Te1 Te 0.250 0.250 0.750
```

# 3
Material: FeAgPbS3
Method: DFT, PBE
State: relaxed

For the theoretical density, the calculation gives 6.08 Mg/m³. The calculation puts the calculated total energy at -4.708 eV/atom.

The structure in CIF format:
```
data_FeAgPbS3
_chemical_formula_sum 'Fe4 Ag4 Pb4 S12'
_symmetry_space_group_name_H-M 'C m c m'
_symmetry_Int_Tables_number 63
_symmetry_space_group_name_Hall '-C 2c 2'
_cell_length_a 3.546
_cell_length_b 14.595
_cell_length_c 9.865
_cell_angle_alpha 90.00
_cell_angle_beta 90.00
_cell_angle_gamma 90.00
loop_
_atom_site_label
_atom_site_type_symbol
_atom_site_fract_x
_atom_site_fract_y
_atom_site_fract_z
Fe1 Fe 0.000 0.000 0.000
Ag1 Ag 0.000 0.345 0.250
Pb1 Pb 0.000 0.331 0.750
S1 S 0.000 0.030 0.250
S2 S 0.000 0.399 0.019
```

# 4
Material: BeCdCuPb
Method: DFT, PBE
State: relaxed

For the theoretical density, the calculation gives 8.52 Mg/m³. The calculation puts the calculated total energy at -2.391 eV/atom. The offset from the most stable computed form is 111.2 meV/atom.

The structure in CIF format:
```
data_BeCdCuPb
_chemical_formula_sum 'Be4 Cd4 Cu4 Pb4'
_symmetry_space_group_name_H-M 'F -4 3 m'
_symmetry_Int_Tables_number 216
_symmetry_space_group_name_Hall 'F -4 2 3'
_cell_length_a 6.736
_cell_length_b 6.736
_cell_length_c 6.736
_cell_angle_alpha 90.00
_cell_angle_beta 90.00
_cell_angle_gamma 90.00
loop_
_atom_site_label
_atom_site_type_symbol
_atom_site_fract_x
_atom_site_fract_y
_atom_site_fract_z
Be1 Be 0.000 0.000 0.000
Cd1 Cd 0.250 0.250 0.250
Cu1 Cu 0.250 0.250 0.750
Pb1 Pb 0.000 0.000 0.500
```

# 5
Material: SnGePt
Method: DFT, PBE
State: relaxed

For the theoretical density, the calculation gives 10.15 Mg/m³. The calculation puts the calculated total energy at -5.257 eV/atom. The offset from the most stable computed form is 0.0 meV/atom.

The structure in CIF format:
```
data_SnGePt
_chemical_formula_sum 'Sn4 Ge4 Pt4'
_symmetry_space_group_name_H-M 'F -4 3 m'
_symmetry_Int_Tables_number 216
_symmetry_space_group_name_Hall 'F -4 2 3'
_cell_length_a 6.324
_cell_length_b 6.324
_cell_length_c 6.324
_cell_angle_alpha 90.00
_cell_angle_beta 90.00
_cell_angle_gamma 90.00
loop_
_atom_site_label
_atom_site_type_symbol
_atom_site_fract_x
_atom_site_fract_y
_atom_site_fract_z
Sn1 Sn 0.000 0.000 0.000
Ge1 Ge 0.000 0.000 0.500
Pt1 Pt 0.250 0.250 0.750
```

# 6
Material: HfFeNiB
Method: DFT, PBE
State: relaxed

For the theoretical density, the calculation gives 10.27 Mg/m³. The calculation puts the calculated total energy at -7.574 eV/atom. The offset from the most stable computed form is 0.0 meV/atom.

The structure in CIF format:
```
data_HfFeNiB
_chemical_formula_sum 'Hf4 Fe4 Ni4 B4'
_symmetry_space_group_name_H-M 'F -4 3 m'
_symmetry_Int_Tables_number 216
_symmetry_space_group_name_Hall 'F -4 2 3'
_cell_length_a 5.814
_cell_length_b 5.814
_cell_length_c 5.814
_cell_angle_alpha 90.00
_cell_angle_beta 90.00
_cell_angle_gamma 90.00
loop_
_atom_site_label
_atom_site_type_symbol
_atom_site_fract_x
_atom_site_fract_y
_atom_site_fract_z
Hf1 Hf 0.000 0.000 0.000
Fe1 Fe 0.000 0.000 0.500
Ni1 Ni 0.250 0.250 0.750
B1 B 0.250 0.250 0.250
```

# 7
Material: GeB2Mo3
Method: DFT, PBE
State: relaxed

For the theoretical density, the calculation gives 8.26 Mg/m³. The calculation puts the calculated total energy at -8.658 eV/atom.

The structure in CIF format:
```
data_GeB2Mo3
_chemical_formula_sum 'Ge2 B4 Mo6'
_symmetry_space_group_name_H-M 'P 63/m m c'
_symmetry_Int_Tables_number 194
_symmetry_space_group_name_Hall '-P 6c 2c'
_cell_length_a 3.1660
_cell_length_b 3.1660
_cell_length_c 17.6960
_cell_angle_alpha 90.00
_cell_angle_beta 90.00
_cell_angle_gamma 120.00
loop_
_atom_site_label
_atom_site_type_symbol
_atom_site_fract_x
_atom_site_fract_y
_atom_site_fract_z
Ge1 Ge 0.0000 0.0000 0.2500
B1 B 0.3333 0.6667 0.0737
Mo1 Mo 0.0000 0.0000 0.0000
Mo2 Mo 0.3333 0.6667 0.6411
```

# 8
Material: TaSiTe
Method: DFT, PBE
State: relaxed

For the theoretical density, the calculation gives 8.12 Mg/m³. The calculation puts the calculated total energy at -6.304 eV/atom.

The structure in CIF format:
```
data_TaSiTe
_chemical_formula_sum 'Ta4 Si4 Te4'
_symmetry_space_group_name_H-M 'F -4 3 m'
_symmetry_Int_Tables_number 216
_symmetry_space_group_name_Hall 'F -4 2 3'
_cell_length_a 6.505
_cell_length_b 6.505
_cell_length_c 6.505
_cell_angle_alpha 90.00
_cell_angle_beta 90.00
_cell_angle_gamma 90.00
loop_
_atom_site_label
_atom_site_type_symbol
_atom_site_fract_x
_atom_site_fract_y
_atom_site_fract_z
Ta1 Ta 0.000 0.000 0.000
Si1 Si 0.250 0.250 0.750
Te1 Te 0.250 0.250 0.250
```

# 9
Material: RbPdO3
Method: DFT, PBE
State: relaxed

For the theoretical density, the calculation gives 5.17 Mg/m³. The calculation puts the calculated total energy at -4.589 eV/atom.

The structure in CIF format:
```
data_RbPdO3
_chemical_formula_sum 'Rb1 Pd1 O3'
_symmetry_space_group_name_H-M 'P 4 m m'
_symmetry_Int_Tables_number 99
_cell_length_a 3.843
_cell_length_b 3.843
_cell_length_c 5.214
_cell_angle_alpha 90.00
_cell_angle_beta 90.00
_cell_angle_gamma 90.00
loop_
_symmetry_equiv_pos_as_xyz
'x,y,z'
'-y,x,z'
'-x,-y,z'
'y,-x,z'
'-x,y,z'
'y,x,z'
'x,-y,z'
'-y,-x,z'
loop_
_atom_site_label
_atom_site_type_symbol
_atom_site_fract_x
_atom_site_fract_y
_atom_site_fract_z
Rb1 Rb 0.000 0.000 0.000
Pd1 Pd 0.500 0.500 0.485
O1 O 0.000 0.500 0.574
O2 O 0.500 0.500 0.124
```

# 10
Material: TmPd2Pb
Method: DFT, PBE
State: relaxed

For the theoretical density, the calculation gives 11.57 Mg/m³. The calculation puts the calculated total energy at -5.250 eV/atom.

The structure in CIF format:
```
data_TmPd2Pb
_chemical_formula_sum 'Tm2 Pd4 Pb2'
_symmetry_space_group_name_H-M 'P m c 21'
_symmetry_Int_Tables_number 26
_cell_length_a 4.154
_cell_length_b 6.005
_cell_length_c 6.780
_cell_angle_alpha 90.00
_cell_angle_beta 90.00
_cell_angle_gamma 90.00
loop_
_symmetry_equiv_pos_as_xyz
'x,y,z'
'-x,-y,z+1/2'
'-x,y,z'
'x,-y,z+1/2'
loop_
_atom_site_label
_atom_site_type_symbol
_atom_site_fract_x
_atom_site_fract_y
_atom_site_fract_z
Tm1 Tm 0.000 0.136 0.000
Pd1 Pd 0.000 0.404 0.354
Pd2 Pd 0.500 0.089 0.286
Pb1 Pb 0.500 0.358 0.645
```

# 11
Material: AcPrGa
Method: DFT, PBE
State: relaxed

For the theoretical density, the calculation gives 6.97 Mg/m³. The calculation puts the calculated total energy at -4.182 eV/atom.

The structure in CIF format:
```
data_AcPrGa
_chemical_formula_sum 'Ac4 Pr4 Ga4'
_symmetry_space_group_name_H-M 'F -4 3 m'
_symmetry_Int_Tables_number 216
_symmetry_space_group_name_Hall 'F -4 2 3'
_cell_length_a 7.472
_cell_length_b 7.472
_cell_length_c 7.472
_cell_angle_alpha 90.00
_cell_angle_beta 90.00
_cell_angle_gamma 90.00
loop_
_atom_site_label
_atom_site_type_symbol
_atom_site_fract_x
_atom_site_fract_y
_atom_site_fract_z
Ac1 Ac 0.000 0.000 0.000
Pr1 Pr 0.000 0.000 0.500
Ga1 Ga 0.250 0.250 0.250
```

# 12
Material: LaCdPO
Method: DFT, PBE
State: relaxed

For the theoretical density, the calculation gives 5.40 Mg/m³. The calculation puts the calculated total energy at -5.597 eV/atom.

The structure in CIF format:
```
data_LaCdPO
_chemical_formula_sum 'La2 Cd2 P2 O2'
_symmetry_space_group_name_H-M 'P m c 21'
_symmetry_Int_Tables_number 26
_cell_length_a 4.534
_cell_length_b 6.556
_cell_length_c 6.170
_cell_angle_alpha 90.00
_cell_angle_beta 90.00
_cell_angle_gamma 90.00
loop_
_symmetry_equiv_pos_as_xyz
'x,y,z'
'-x,-y,z+1/2'
'-x,y,z'
'x,-y,z+1/2'
loop_
_atom_site_label
_atom_site_type_symbol
_atom_site_fract_x
_atom_site_fract_y
_atom_site_fract_z
La1 La 0.000 0.239 0.000
Cd1 Cd 0.500 0.342 0.577
P1 P 0.000 0.213 0.489
O1 O 0.500 0.319 0.968
```